No. 1
CrAgCl: optimized geometry, GGA-PBE.

POSCAR file:
```
CrAgCl
1.0
3.360 0.000 0.000
-1.680 2.910 0.000
0.000 0.000 6.220
Cr Ag Cl
1 1 1
Direct
0.000 0.000 0.000 Cr
0.333 0.667 0.316 Ag
0.667 0.333 0.751 Cl
```

**Energy above the most stable polymorph in this dataset**: 0.0 meV/atom
**Total DFT energy (no corrections)**: -14.26 eV for the cell shown
**ΔE_f (raw)**: 0.02 eV per atom
**Space group**: P3m1

---

No. 2
BaPbAu: optimized geometry, GGA-PBE.

POSCAR file:
```
BaPbAu
1.0
-1.955 1.955 6.214
1.955 -1.955 6.214
1.955 1.955 -6.214
Ba Pb Au
1 1 1
Direct
0.000 0.000 0.000 Ba
0.286 0.286 0.000 Pb
0.669 0.669 0.000 Au
```

**Formation energy**: -1.15 eV per formula unit
**Total DFT energy (no corrections)**: -10.06 eV for the cell shown
**Space group**: I4mm

---

No. 3
BeTc2Ir: optimized geometry, GGA-PBE.

POSCAR file:
```
BeTc2Ir
1.0
2.432 -4.106 0.000
2.432 4.106 0.000
0.000 0.000 2.711
Be Tc Ir
1 2 1
Direct
0.000 0.000 0.000 Be
0.000 0.500 0.500 Tc
0.500 0.000 0.500 Tc
0.500 0.500 0.000 Ir
```

**Formation energy**: 0.00 eV per formula unit
**Total DFT energy (no corrections)**: -33.32 eV for the cell shown
**Space group**: Cmmm

---

No. 4
AcLaPm5Dy2: optimized geometry, GGA-PBE.

POSCAR file:
```
AcLaPm5Dy2
1.0
2.831 -12.049 0.000
2.831 12.049 0.000
0.000 0.000 9.578
Ac La Pm Dy
2 2 10 4
Direct
0.103 0.897 0.500 Ac
0.897 0.103 0.000 Ac
0.266 0.734 0.110 La
0.734 0.266 0.610 La
0.025 0.975 0.826 Pm
0.103 0.897 0.108 Pm
0.188 0.812 0.805 Pm
0.241 0.759 0.431 Pm
0.494 0.506 0.604 Pm
0.506 0.494 0.104 Pm
0.759 0.241 0.931 Pm
0.812 0.188 0.305 Pm
0.897 0.103 0.608 Pm
0.975 0.025 0.326 Pm
0.330 0.670 0.744 Dy
0.388 0.612 0.367 Dy
0.612 0.388 0.867 Dy
0.670 0.330 0.244 Dy
```

**Formation energy**: 1.27 eV per formula unit
**Total DFT energy (no corrections)**: -81.44 eV for the cell shown
**Space group**: Cmc2_1

---

No. 5
NdSmCu: optimized geometry, GGA-PBE.

POSCAR file:
```
NdSmCu
1.0
0.000 3.515 3.515
3.515 0.000 3.515
3.515 3.515 0.000
Nd Sm Cu
1 1 1
Direct
0.000 0.000 0.000 Nd
0.500 0.500 0.500 Sm
0.750 0.750 0.750 Cu
```

**Energy above the most stable polymorph in this dataset**: 222.3 meV/atom
**Formation energy**: 0.35 eV per formula unit
**Total DFT energy (no corrections)**: -13.23 eV for the cell shown
**Space group**: F-43m

---

No. 6
Ac2UAuSe5: optimized geometry, GGA-PBE.

POSCAR file:
```
Ac2UAuSe5
1.0
2.131 -9.021 0.000
2.131 9.021 0.000
0.000 0.000 12.845
Ac U Au Se
4 2 2 10
Direct
0.120 0.880 0.500 Ac
0.121 0.879 0.127 Ac
0.879 0.121 0.627 Ac
0.880 0.120 0.000 Ac
0.188 0.812 0.817 U
0.812 0.188 0.317 U
0.450 0.550 0.253 Au
0.550 0.450 0.753 Au
0.037 0.963 0.867 Se
0.299 0.701 0.474 Se
0.301 0.699 0.159 Se
0.351 0.649 0.815 Se
0.499 0.501 0.566 Se
0.501 0.499 0.066 Se
0.649 0.351 0.315 Se
0.699 0.301 0.659 Se
0.701 0.299 0.974 Se
0.963 0.037 0.367 Se
```

**Total DFT energy (no corrections)**: -105.91 eV for the cell shown
**ΔE_f (raw)**: -1.42 eV per atom
**Space group**: Cmc2_1

---

No. 7
Li8Bi2Sb: optimized geometry, GGA-PBE.

POSCAR file:
```
Li8Bi2Sb
1.0
-2.325 3.396 6.969
2.325 -3.396 6.969
2.325 3.396 -6.969
Li Bi Sb
8 2 1
Direct
0.110 0.347 0.763 Li
0.167 0.167 0.000 Li
0.267 0.000 0.267 Li
0.416 0.653 0.763 Li
0.584 0.347 0.237 Li
0.733 0.000 0.733 Li
0.833 0.833 0.000 Li
0.890 0.653 0.237 Li
0.321 0.821 0.500 Bi
0.679 0.179 0.500 Bi
0.000 0.500 0.500 Sb
```

**Total DFT energy (no corrections)**: -33.03 eV for the cell shown
**ΔE_f (raw)**: -0.53 eV per atom
**Space group**: Immm

---

No. 8
Sm8AlGa2: optimized geometry, GGA-PBE.

POSCAR file:
```
Sm8AlGa2
1.0
9.235 -2.558 0.000
9.235 2.558 0.000
-2.063 0.000 6.748
Sm Al Ga
8 1 2
Direct
0.020 0.020 0.268 Sm
0.201 0.201 0.813 Sm
0.335 0.335 0.532 Sm
0.408 0.408 0.032 Sm
0.592 0.592 0.968 Sm
0.665 0.665 0.468 Sm
0.799 0.799 0.187 Sm
0.980 0.980 0.732 Sm
0.500 0.500 0.500 Al
0.182 0.182 0.224 Ga
0.818 0.818 0.776 Ga
```

**Formation energy**: -2.65 eV per formula unit
**Total DFT energy (no corrections)**: -50.20 eV for the cell shown
**Space group**: C2/m

---

Copy entry 4 word for word.
AcLaPm5Dy2: optimized geometry, GGA-PBE.

POSCAR file:
```
AcLaPm5Dy2
1.0
2.831 -12.049 0.000
2.831 12.049 0.000
0.000 0.000 9.578
Ac La Pm Dy
2 2 10 4
Direct
0.103 0.897 0.500 Ac
0.897 0.103 0.000 Ac
0.266 0.734 0.110 La
0.734 0.266 0.610 La
0.025 0.975 0.826 Pm
0.103 0.897 0.108 Pm
0.188 0.812 0.805 Pm
0.241 0.759 0.431 Pm
0.494 0.506 0.604 Pm
0.506 0.494 0.104 Pm
0.759 0.241 0.931 Pm
0.812 0.188 0.305 Pm
0.897 0.103 0.608 Pm
0.975 0.025 0.326 Pm
0.330 0.670 0.744 Dy
0.388 0.612 0.367 Dy
0.612 0.388 0.867 Dy
0.670 0.330 0.244 Dy
```

**Formation energy**: 1.27 eV per formula unit
**Total DFT energy (no corrections)**: -81.44 eV for the cell shown
**Space group**: Cmc2_1